Computed, not measured: a geometry-optimized RbTi2W2 structure at the PBE level of DFT.

Unit cell a=3.868 b=3.868 c=18.581 alpha=90.00 beta=90.00 gamma=90.00
Space group I4/mmm (No. 139)
Symmetry-distinct sites (fractional):
Rb 0.000 0.000 0.000 x2
Ti 0.000 0.000 0.348 x4
W 0.000 0.500 0.250 x4

Computed properties:
ΔE_f: 0.993 eV per atom
energy relative to the lowest polymorph listed for this composition: 125 meV per atom
total magnetization: 1.28 μB/cell

Computed, not measured: a geometry-optimized RbTi2W structure at the PBE level of DFT.

Unit cell a=6.832 b=6.832 c=6.832 alpha=90.00 beta=90.00 gamma=90.00
Space group Fm-3m (No. 225)
Symmetry-distinct sites (fractional):
Rb 0.000 0.000 0.000 x4
Ti 0.250 0.250 0.250 x8
W 0.000 0.000 0.500 x4

Computed properties:
ΔE_f: 1.421 eV per atom
energy relative to the lowest polymorph listed for this composition: 0 meV per atom
total magnetization: 0.00 μB/cell

Computed, not measured: a geometry-optimized Rb3TiW structure at the PBE level of DFT.

Unit cell a=6.813 b=6.813 c=6.813 alpha=90.00 beta=90.00 gamma=90.00
Space group Pm-3m (No. 221)
Symmetry-distinct sites (fractional):
Rb 0.000 0.000 0.500 x3
Ti 0.000 0.000 0.000 x1
W 0.500 0.500 0.500 x1

Computed properties:
ΔE_f: 2.194 eV per atom
energy relative to the lowest polymorph listed for this composition: 0 meV per atom
total magnetization: 9.00 μB/cell

Computed, not measured: a geometry-optimized RbYTi2 structure at the PBE level of DFT.

Unit cell a=4.747 b=4.747 c=22.443 alpha=90.00 beta=90.00 gamma=90.00
Space group I-42d (No. 122)
Symmetry-distinct sites (fractional):
Rb 0.000 0.000 0.000 x4
Y 0.000 0.000 0.500 x4
Ti 0.094 0.250 0.625 x8

Computed properties:
ΔE_f: 1.385 eV per atom
energy relative to the lowest polymorph listed for this composition: 138 meV per atom
total magnetization: 0.00 μB/cell

Computed, not measured: a geometry-optimized RbY3Ti structure at the PBE level of DFT.

Unit cell a=5.707 b=5.707 c=5.707 alpha=90.00 beta=90.00 gamma=90.00
Space group Pm-3m (No. 221)
Symmetry-distinct sites (fractional):
Rb 0.000 0.000 0.000 x1
Y 0.000 0.500 0.500 x3
Ti 0.500 0.500 0.500 x1

Computed properties:
ΔE_f: 0.612 eV per atom
energy relative to the lowest polymorph listed for this composition: 0 meV per atom
total magnetization: 0.00 μB/cell

Computed, not measured: a geometry-optimized RbY3Ti structure at the PBE level of DFT.

Unit cell a=5.419 b=5.419 c=5.419 alpha=90.00 beta=90.00 gamma=90.00
Space group Pm-3m (No. 221)
Symmetry-distinct sites (fractional):
Rb 0.000 0.000 0.000 x1
Y 0.000 0.000 0.500 x3
Ti 0.500 0.500 0.500 x1

Computed properties:
ΔE_f: 1.533 eV per atom
energy relative to the lowest polymorph listed for this composition: 922 meV per atom
total magnetization: 1.91 μB/cell

Computed, not measured: a geometry-optimized RbY4Ti2 structure at the PBE level of DFT.

Unit cell a=5.714 b=5.714 c=13.959 alpha=90.00 beta=90.00 gamma=90.00
Space group I4/mmm (No. 139)
Symmetry-distinct sites (fractional):
Rb 0.000 0.000 0.000 x2
Y 0.000 0.000 0.218 x4
Y 0.000 0.500 0.000 x4
Ti 0.000 0.000 0.419 x4

Computed properties:
ΔE_f: 1.132 eV per atom
total magnetization: 0.00 μB/cell

Computed, not measured: a geometry-optimized RbY2Ti structure at the PBE level of DFT.

Unit cell a=8.847 b=8.847 c=6.932 alpha=90.00 beta=90.00 gamma=90.00
Space group I-42d (No. 122)
Symmetry-distinct sites (fractional):
Rb 0.000 0.000 0.000 x4
Y 0.222 0.250 0.625 x8
Ti 0.000 0.000 0.500 x4

Computed properties:
ΔE_f: 1.059 eV per atom
energy relative to the lowest polymorph listed for this composition: 207 meV per atom
total magnetization: 11.91 μB/cell

Computed, not measured: a geometry-optimized RbYTi2 structure at the PBE level of DFT.

Unit cell a=7.805 b=7.805 c=7.805 alpha=90.00 beta=90.00 gamma=90.00
Space group Fm-3m (No. 225)
Symmetry-distinct sites (fractional):
Rb 0.000 0.000 0.000 x4
Y 0.000 0.000 0.500 x4
Ti 0.250 0.250 0.250 x8

Computed properties:
ΔE_f: 1.247 eV per atom
energy relative to the lowest polymorph listed for this composition: 0 meV per atom
total magnetization: 22.59 μB/cell

Computed, not measured: a geometry-optimized RbY2Ti structure at the PBE level of DFT.

Unit cell a=8.006 b=8.006 c=8.006 alpha=90.00 beta=90.00 gamma=90.00
Space group Fm-3m (No. 225)
Symmetry-distinct sites (fractional):
Rb 0.000 0.000 0.000 x4
Y 0.250 0.250 0.250 x8
Ti 0.000 0.000 0.500 x4

Computed properties:
ΔE_f: 0.852 eV per atom
energy relative to the lowest polymorph listed for this composition: 0 meV per atom
total magnetization: 10.12 μB/cell

Computed, not measured: a geometry-optimized RbY2TiZn structure at the PBE level of DFT.

Unit cell a=5.629 b=5.629 c=5.196 alpha=90.00 beta=90.00 gamma=90.00
Space group P4/mmm (No. 123)
Symmetry-distinct sites (fractional):
Rb 0.000 0.000 0.000 x1
Y 0.000 0.500 0.500 x2
Ti 0.500 0.500 0.000 x1
Zn 0.500 0.500 0.500 x1

Computed properties:
ΔE_f: 0.621 eV per atom
total magnetization: 2.13 μB/cell

Computed, not measured: a geometry-optimized RbYTi2Zn structure at the PBE level of DFT.

Unit cell a=5.132 b=5.132 c=6.292 alpha=90.00 beta=90.00 gamma=90.00
Space group P4/mmm (No. 123)
Symmetry-distinct sites (fractional):
Rb 0.000 0.000 0.000 x1
Y 0.000 0.000 0.500 x1
Ti 0.000 0.500 0.500 x2
Zn 0.500 0.500 0.000 x1

Computed properties:
ΔE_f: 1.590 eV per atom
total magnetization: 1.07 μB/cell

Computed, not measured: a geometry-optimized RbTiZn2 structure at the PBE level of DFT.

Unit cell a=7.272 b=7.272 c=7.272 alpha=90.00 beta=90.00 gamma=90.00
Space group Fm-3m (No. 225)
Symmetry-distinct sites (fractional):
Rb 0.000 0.000 0.000 x4
Ti 0.000 0.000 0.500 x4
Zn 0.250 0.250 0.250 x8

Computed properties:
ΔE_f: 0.774 eV per atom
total magnetization: 0.00 μB/cell

Computed, not measured: a geometry-optimized RbTi3Zn structure at the PBE level of DFT.

Unit cell a=4.703 b=4.703 c=4.703 alpha=90.00 beta=90.00 gamma=90.00
Space group Pm-3m (No. 221)
Symmetry-distinct sites (fractional):
Rb 0.000 0.000 0.000 x1
Ti 0.000 0.000 0.500 x3
Zn 0.500 0.500 0.500 x1

Computed properties:
ΔE_f: 2.048 eV per atom
energy relative to the lowest polymorph listed for this composition: 891 meV per atom
total magnetization: 2.47 μB/cell

Computed, not measured: a geometry-optimized RbTi3Zn structure at the PBE level of DFT.

Unit cell a=4.995 b=4.995 c=4.995 alpha=90.00 beta=90.00 gamma=90.00
Space group Pm-3m (No. 221)
Symmetry-distinct sites (fractional):
Rb 0.000 0.000 0.000 x1
Ti 0.000 0.500 0.500 x3
Zn 0.500 0.500 0.500 x1

Computed properties:
ΔE_f: 1.157 eV per atom
energy relative to the lowest polymorph listed for this composition: 0 meV per atom
total magnetization: 2.07 μB/cell

Computed, not measured: a geometry-optimized Rb2TiZn structure at the PBE level of DFT.

Unit cell a=12.997 b=12.997 c=5.267 alpha=90.00 beta=90.00 gamma=90.00
Space group I-42d (No. 122)
Symmetry-distinct sites (fractional):
Rb 0.093 0.250 0.125 x8
Ti 0.000 0.000 0.500 x4
Zn 0.000 0.000 0.000 x4

Computed properties:
ΔE_f: 0.821 eV per atom
total magnetization: 12.26 μB/cell

Computed, not measured: a geometry-optimized RbZrTi3 structure at the PBE level of DFT.

Unit cell a=5.201 b=5.201 c=5.201 alpha=90.00 beta=90.00 gamma=90.00
Space group Pm-3m (No. 221)
Symmetry-distinct sites (fractional):
Rb 0.000 0.000 0.000 x1
Zr 0.500 0.500 0.500 x1
Ti 0.000 0.500 0.500 x3

Computed properties:
ΔE_f: 1.314 eV per atom
energy relative to the lowest polymorph listed for this composition: 0 meV per atom
total magnetization: 4.02 μB/cell

Computed, not measured: a geometry-optimized RbZrTi2 structure at the PBE level of DFT.

Unit cell a=7.206 b=7.206 c=7.206 alpha=90.00 beta=90.00 gamma=90.00
Space group Fm-3m (No. 225)
Symmetry-distinct sites (fractional):
Rb 0.000 0.000 0.000 x4
Zr 0.000 0.000 0.500 x4
Ti 0.250 0.250 0.250 x8

Computed properties:
ΔE_f: 1.259 eV per atom
energy relative to the lowest polymorph listed for this composition: 0 meV per atom
total magnetization: 0.00 μB/cell

Computed, not measured: a geometry-optimized RbZrTi2 structure at the PBE level of DFT.

Unit cell a=5.006 b=5.006 c=20.381 alpha=90.00 beta=90.00 gamma=90.00
Space group I4_1/amd (No. 141, origin choice 2)
Symmetry-distinct sites (fractional):
Rb 0.000 0.250 0.375 x4
Zr 0.000 0.250 0.875 x4
Ti 0.000 0.000 0.000 x8

Computed properties:
ΔE_f: 1.539 eV per atom
energy relative to the lowest polymorph listed for this composition: 280 meV per atom
total magnetization: 0.00 μB/cell

Computed, not measured: a geometry-optimized Rb3ZrTi structure at the PBE level of DFT.

Unit cell a=6.716 b=6.716 c=6.716 alpha=90.00 beta=90.00 gamma=90.00
Space group Pm-3m (No. 221)
Symmetry-distinct sites (fractional):
Rb 0.000 0.000 0.500 x3
Zr 0.500 0.500 0.500 x1
Ti 0.000 0.000 0.000 x1

Computed properties:
ΔE_f: 1.834 eV per atom
energy relative to the lowest polymorph listed for this composition: 0 meV per atom
total magnetization: 3.88 μB/cell

Computed values of D(E_F) (unit: states/eV/atom) for the preceding records, in sequence: 1.4426, 1.7887, 1.8378, 1.4654, 0.8830, 1.0052, 0.8251, 1.4060, 1.8774, 1.8478, 1.3844, 1.3655, 1.0482, 1.0520, 1.9617, 1.1086, 1.9526, 2.0182, 1.2940, 2.6448.